No. 1
Computed, not measured: a relaxed PaMoAs crystal at the PBE-GGA level of DFT.

## Properties
Energy relative to the elements   -0.314 eV/atom
Electronic total energy   -8.64 eV/atom
Crystal system   hexagonal

a b c (Å): 4.4578 4.4578 3.5060
angles (deg): 90.00 90.00 120.00
Last column: nearest neighbours and their distance in Å.
Space group P-6m2 (No. 187)
Unique sites:
Pa 0.0000 0.0000 0.0000 (multiplicity 1)  6 Mo 3.11, 6 As 3.11
Mo 0.6667 0.3333 0.5000 (multiplicity 1)  3 As 2.57
As 0.3333 0.6667 0.5000 (multiplicity 1)  3 Mo 2.57

No. 2
Computed, not measured: a relaxed AcNdDy2Sb4 crystal at the PBE-GGA level of DFT.

## Properties
ΔE_f (raw)   -1.1451 eV per atom
Electronic total energy   -5.47 eV/atom
Crystal system   monoclinic

a b c (Å): 7.8318 4.5305 7.8471
angles (deg): 90.00 109.47 90.00
Last column: nearest neighbours and their distance in Å.
Space group P2/m (No. 10)
Unique sites:
Ac 0.0000 0.0000 0.0000 (multiplicity 1)  6 Sb 3.30
Nd 0.0000 0.5000 0.5000 (multiplicity 1)  6 Sb 3.24
Dy 0.5000 0.0000 0.5000 (multiplicity 1)  6 Sb 3.10
Dy 0.5000 0.5000 0.0000 (multiplicity 1)  6 Sb 3.17
Sb 0.2637 0.0000 0.7483 (multiplicity 2)  3 Dy 3.10-3.17, 2 Nd 3.24, 1 Ac 3.30
Sb 0.2688 0.5000 0.2627 (multiplicity 2)  3 Dy 3.10-3.17, 1 Nd 3.24, 2 Ac 3.30

No. 3
Computed, not measured: a relaxed Tl3CoTc crystal at the PBE-GGA level of DFT.

## Properties
Energy relative to the elements   1.033 eV/atom
Electronic total energy   -3.88 eV/atom
Crystal system   cubic

a b c (Å): 4.9940 4.9940 4.9940
angles (deg): 90.00 90.00 90.00
Last column: nearest neighbours and their distance in Å.
Space group Pm-3m (No. 221)
Unique sites:
Tl 0.0000 0.0000 0.5000 (multiplicity 3)  2 Co 2.50
Co 0.0000 0.0000 0.0000 (multiplicity 1)  6 Tl 2.50
Tc 0.5000 0.5000 0.5000 (multiplicity 1)  12 Tl 3.53

No. 4
Computed, not measured: a relaxed Pr2Fe5C4 crystal at the PBE-GGA level of DFT.

## Properties
Energy relative to the elements   -0.086 eV/atom
Electronic total energy   -8.16 eV/atom
Crystal system   orthorhombic

a b c (Å): 5.0503 9.5607 10.3137
angles (deg): 90.00 90.00 90.00
Last column: nearest neighbours and their distance in Å.
Space group Fmmm (No. 69)
Unique sites:
Pr 0.0000 0.0000 0.1478 (multiplicity 8)  6 C 2.79-2.99, 10 Fe 2.90-3.10, 1 Pr 3.05
Fe 0.0000 0.0000 0.5000 (multiplicity 4)  4 C 2.07
Fe 0.2500 0.2500 0.0000 (multiplicity 8)  4 C 2.01
Fe 0.2500 0.2500 0.2500 (multiplicity 8)  4 C 1.95
C 0.0000 0.1653 0.3709 (multiplicity 16)  5 Fe 1.95-2.07

No. 5
Computed, not measured: a relaxed KLaCeSnO6 crystal at the PBE-GGA level of DFT.

## Properties
ΔE_f (raw)   -2.4698 eV per atom
Electronic total energy   -7.04 eV/atom
Crystal system   cubic

a b c (Å): 8.5178 8.5178 8.5178
angles (deg): 90.00 90.00 90.00
Last column: nearest neighbours and their distance in Å.
Space group F-43m (No. 216)
Unique sites:
K 0.0000 0.0000 0.0000 (multiplicity 4)  12 O 3.01
La 0.0000 0.0000 0.5000 (multiplicity 4)  12 O 3.01
Ce 0.2500 0.2500 0.7500 (multiplicity 4)  6 O 2.20
Sn 0.2500 0.2500 0.2500 (multiplicity 4)  6 O 2.06
O 0.0081 0.2500 0.2500 (multiplicity 24)  1 Sn 2.06, 1 Ce 2.20

No. 6
Computed, not measured: a relaxed AcSc2Cu crystal at the PBE-GGA level of DFT.

## Properties
Energy relative to the elements   -0.002 eV/atom
Electronic total energy   -5.22 eV/atom
Crystal system   tetragonal

a b c (Å): 3.4622 3.4622 8.3978
angles (deg): 90.00 90.00 90.00
Last column: nearest neighbours and their distance in Å.
Space group P4/mmm (No. 123)
Unique sites:
Ac 0.0000 0.0000 0.0000 (multiplicity 1)  4 Ac 3.46, 8 Sc 3.64
Sc 0.5000 0.5000 0.3200 (multiplicity 2)  4 Cu 2.88, 1 Sc 3.02
Cu 0.0000 0.0000 0.5000 (multiplicity 1)  8 Sc 2.88